No. 1
First-principles (PBE) data for an optimized crystal structure of Ba2CuRh, as listed in Alexandria via LeMat-Bulk.

The volume is 150.2 Å³/f.u. For the formation enthalpy at 0 K, the calculation gives -0.07 eV per atom.

It has space group Imm2 (No. 44), with a = 4.396 Å, b = 4.453 Å, c = 15.347 Å, α = 90.00°, β = 90.00° and γ = 90.00°. The inequivalent atoms are Ba at (0.000, 0.000, 0.000), Ba at (0.000, 0.500, 0.233), Cu at (0.000, 0.500, 0.656) and Rh at (0.000, 0.000, 0.589).



No. 2
First-principles (PBE) data for an optimized crystal structure of BaCu2Rh, as listed in Alexandria via LeMat-Bulk.

The volume is 90.7 Å³/f.u. For the formation enthalpy at 0 K, the calculation gives 0.28 eV per atom.

It has space group Immm (No. 71), with a = 4.324 Å, b = 5.709 Å, c = 7.345 Å, α = 90.00°, β = 90.00° and γ = 90.00°. The inequivalent atoms are Ba at (0.000, 0.000, 0.000), Cu at (0.000, 0.500, 0.173) and Rh at (0.000, 0.000, 0.500).



No. 3
First-principles (PBE) data for an optimized crystal structure of Ba2Cu2Rh, as listed in Alexandria via LeMat-Bulk.

The volume is 127.3 Å³/f.u. For the formation enthalpy at 0 K, the calculation gives 0.11 eV per atom.

It has space group I4/mmm (No. 139), with a = 3.651 Å, b = 3.651 Å, c = 19.103 Å, α = 90.00°, β = 90.00° and γ = 90.00°. The inequivalent atoms are Ba at (0.000, 0.000, 0.101), Cu at (0.000, 0.500, 0.250) and Rh at (0.000, 0.000, 0.500).



No. 4
First-principles (PBE) data for an optimized crystal structure of BaCuRh3, as listed in Alexandria via LeMat-Bulk.

The volume is 129.5 Å³/f.u. For the formation enthalpy at 0 K, the calculation gives 2.00 eV per atom.

It has space group Pm-3m (No. 221), with a = 5.060 Å, b = 5.060 Å, c = 5.060 Å, α = 90.00°, β = 90.00° and γ = 90.00°. The inequivalent atoms are Ba at (0.000, 0.000, 0.000), Cu at (0.500, 0.500, 0.500) and Rh at (0.000, 0.000, 0.500).



| no. | density (g/cm3) | E above lowest polymorph (meV per atom) | final energy (eV/f.u.) |
| --- | --- | --- | --- |
| 1 | 4.9 | 124.9 | -15.56 |
| 2 | 6.7 | 384.1 | -16.33 |
| 3 | 6.6 | 198.9 | -18.85 |
| 4 | 6.5 | 1451.1 | -18.09 |